[1]
VASP calculation (PBE-GGA) on an optimized crystal structure of Nb4SnH.

abc: 5.0329 6.6578 7.3061
angles: 112.01 103.74 103.57
Fractional positions:
1 Nb 0.2753 0.9081 0.5550
2 Nb 0.0245 0.8835 0.1261
3 Nb 0.2203 0.3531 0.4450
4 Nb 0.3984 0.7574 0.8739
5 Nb 0.7247 0.0919 0.4450
6 Nb 0.7797 0.6469 0.5550
7 Nb 0.9755 0.1165 0.8739
8 Nb 0.6016 0.2426 0.1261
9 Sn 0.3430 0.5930 0.1861
10 Sn 0.6570 0.4070 0.8139
11 H 0.8611 0.1111 0.2221
12 H 0.1389 0.8889 0.7779

- total DFT energy (no corrections) (eV per atom) = -7.852
- ρ (g/cm³) = 7.93


[2]
VASP calculation (PBE-GGA) on an optimized crystal structure of Nb3SnH.

abc: 5.5488 5.9036 5.5489
angles: 81.77 64.35 98.23
Fractional positions:
1 H 0.1883 0.2252 0.2117
2 H 0.3071 0.7252 0.3306
3 Nb 0.9407 0.5333 0.6017
4 Nb 0.4367 0.5392 0.0539
5 Nb 0.4458 0.7859 0.5850
6 Nb 0.4649 0.0392 0.0822
7 Nb 0.9171 0.0333 0.5782
8 Nb 0.9338 0.2859 0.0730
9 Sn 0.9413 0.7836 0.0765
10 Sn 0.4424 0.2836 0.5775

- total DFT energy (no corrections) (eV per atom) = -7.689
- ρ (g/cm³) = 8.38


[3]
VASP calculation (PBE-GGA) on an optimized crystal structure of Nb3SnH.

abc: 4.9128 5.8768 5.4387
angles: 90.00 88.85 90.00
Fractional positions:
1 H 0.0417 0.2500 0.0611
2 H 0.9583 0.7500 0.9389
3 Nb 0.7437 0.0145 0.1530
4 Nb 0.2563 0.9855 0.8470
5 Nb 0.7437 0.4855 0.1530
6 Nb 0.2563 0.5145 0.8470
7 Nb 0.2582 0.2500 0.3541
8 Nb 0.7418 0.7500 0.6459
9 Sn 0.7505 0.2500 0.6518
10 Sn 0.2495 0.7500 0.3482

- total DFT energy (no corrections) (eV per atom) = -7.621
- ρ (g/cm³) = 8.43


total DFT energy (no corrections) of number 3 (Nb3SnH)? -7.621 eV per atom